Entry 1:
A plane-wave DFT calculation with PBE with a Hubbard U was carried out for a relaxed RbZrV2O8 crystal.

Lattice parameters (Å, degrees): 5.8041 5.8041 7.9507 90.00 90.00 120.00
Each line ends with the local moment (μB).
Atoms (fractional coordinates):
Rb 0.0000 0.0000 0.0000  0.00
Zr 0.0000 0.0000 0.5000  -0.03
V 0.6667 0.3333 0.2708  -0.10
V 0.3333 0.6667 0.7292  -0.10
O 0.3333 0.6667 0.9397  0.18
O 0.3349 0.1689 0.3421  0.12
O 0.8311 0.1660 0.3421  0.12
O 0.6667 0.3333 0.0603  0.18
O 0.1689 0.8340 0.6579  0.12
O 0.6651 0.8311 0.6579  0.12
O 0.1660 0.3349 0.6579  0.12
O 0.8340 0.6651 0.3421  0.12

Output
**SG**: P-3 (147)
**DFT total energy**: -7.4777 eV per atom

=====

Entry 2:
A plane-wave DFT calculation with PBE with a Hubbard U was carried out for a relaxed RbZrVO5 crystal.

Lattice parameters (Å, degrees): 6.1694 6.1694 7.8512 104.94 104.94 105.65
Atoms (fractional coordinates):
Rb 0.3297 0.6703 0.2500
Rb 0.6703 0.3297 0.7500
Zr 0.0000 0.0000 0.5000
Zr 0.0000 0.0000 0.0000
V 0.6883 0.3117 0.2500
V 0.3117 0.6883 0.7500
O 0.0546 0.9454 0.2500
O 0.9454 0.0546 0.7500
O 0.8711 0.2829 0.1135
O 0.1289 0.7171 0.8865
O 0.7171 0.1289 0.3865
O 0.2829 0.8711 0.6135
O 0.7766 0.6130 0.3907
O 0.2234 0.3870 0.6093
O 0.3870 0.2234 0.1093
O 0.6130 0.7766 0.8907

Output
**SG**: C2/c (15)
**DFT total energy**: -7.6745 eV per atom

=====

Entry 3:
A plane-wave DFT calculation with PBE with a Hubbard U was carried out for a relaxed RbWO3 crystal.

Lattice parameters (Å, degrees): 5.1825 6.4412 6.4416 120.00 89.99 90.00
Each line ends with the local moment (μB).
Atoms (fractional coordinates):
Rb 0.7499 0.6667 0.3334  0.00
Rb 0.2501 0.3333 0.6666  0.00
W 0.0000 0.0000 0.0000  0.67
W 0.5000 0.0000 0.0000  -0.67
O 0.7500 0.7189 0.8594  0.00
O 0.2500 0.8594 0.7189  0.00
O 0.2500 0.2811 0.1406  0.00
O 0.7500 0.1406 0.2811  0.00
O 0.2500 0.8594 0.1406  0.00
O 0.7500 0.1406 0.8595  0.00

Output
**SG**: P6_3/mmc (194)
**DFT total energy**: -6.4364 eV per atom

=====

Entry 4:
A plane-wave DFT calculation with PBE with a Hubbard U was carried out for a relaxed RbWO2 crystal.

Lattice parameters (Å, degrees): 5.2567 5.2567 7.0642 68.16 68.16 90.00
Each line ends with the local moment (μB).
Atoms (fractional coordinates):
O 0.7769 0.1250 0.2500  0.03
O 0.9731 0.6250 0.2500  0.03
O 0.3750 0.2231 0.7500  0.02
O 0.8750 0.0269 0.7500  0.03
Rb 0.5000 0.5000 0.0000  0.02
Rb 0.2500 0.7500 0.5000  0.02
W 0.0000 0.0000 0.0000  2.48
W 0.7500 0.2500 0.5000  2.48

Output
**SG**: I-42d (122)
**DFT total energy**: -5.7228 eV per atom

=====

Entry 5:
A plane-wave DFT calculation with PBE with a Hubbard U was carried out for a relaxed Rb2WO4 crystal.

Lattice parameters (Å, degrees): 6.7710 8.4272 11.1586 90.00 90.00 90.00
Each line ends with the local moment (μB).
Atoms (fractional coordinates):
Rb 0.7500 0.4870 0.2737  0.00
Rb 0.2500 0.5130 0.7263  0.00
Rb 0.2500 0.0130 0.7737  0.00
Rb 0.7500 0.9870 0.2263  0.00
Rb 0.7500 0.8069 0.5660  0.00
Rb 0.2500 0.1931 0.4340  0.00
Rb 0.2500 0.6931 0.0660  0.00
Rb 0.7500 0.3069 0.9340  0.00
W 0.7500 0.7811 0.9039  -0.02
W 0.2500 0.2189 0.0961  -0.02
W 0.2500 0.7189 0.4039  -0.02
W 0.7500 0.2811 0.5961  -0.02
O 0.5316 0.7533 0.8108  0.03
O 0.4684 0.2467 0.1892  0.03
O 0.4684 0.7467 0.3108  0.03
O 0.0316 0.2467 0.1892  0.03
O 0.5316 0.2533 0.6892  0.03
O 0.9684 0.7533 0.8108  0.03
O 0.9684 0.2533 0.6892  0.03
O 0.0316 0.7467 0.3108  0.03
O 0.7500 0.9806 0.9655  0.07
O 0.2500 0.0194 0.0345  0.07
O 0.2500 0.5194 0.4655  0.07
O 0.7500 0.4806 0.5345  0.07
O 0.7500 0.1372 0.4744  0.01
O 0.2500 0.8628 0.5256  0.01
O 0.2500 0.3628 0.9744  0.01
O 0.7500 0.6372 0.0256  0.01

Output
**SG**: Pnma (62)
**DFT total energy**: -6.1806 eV per atom

=====

Entry 6:
A plane-wave DFT calculation with PBE with a Hubbard U was carried out for a relaxed Rb2WO4 crystal.

Lattice parameters (Å, degrees): 6.6500 6.9995 7.8094 90.00 110.45 90.00
Atoms (fractional coordinates):
Rb 0.6509 0.7500 0.0005
Rb 0.3491 0.2500 0.9995
Rb 0.1962 0.2500 0.4343
Rb 0.8038 0.7500 0.5657
W 0.2316 0.7500 0.2009
W 0.7684 0.2500 0.7991
O 0.4056 0.5405 0.2592
O 0.0877 0.7500 0.9555
O 0.9123 0.2500 0.0445
O 0.4056 0.9595 0.2592
O 0.9602 0.2500 0.6806
O 0.5944 0.0405 0.7408
O 0.5944 0.4595 0.7408
O 0.0398 0.7500 0.3194

Output
**SG**: P2_1/m (11)
**DFT total energy**: -6.1518 eV per atom